ZrZn4Pd7: relaxed, PBE.

Cell lengths 4.802, 7.823, 6.145 Å; angles 78.67, 67.00, 72.13 degrees
Sites, in units of the cell vectors:
Pd 0.656 0.427 0.262
Pd 0.935 0.343 0.788
Pd 0.500 0.000 0.000
Pd 0.219 0.104 0.458
Pd 0.344 0.573 0.738
Pd 0.781 0.896 0.542
Pd 0.065 0.657 0.212
Zn 0.569 0.229 0.633
Zn 0.431 0.771 0.367
Zn 0.285 0.333 0.096
Zn 0.715 0.667 0.904
Zr 0.000 0.000 0.000

Energy of formation: -3.23 eV/f.u.
Final energy: -53.22 eV/cell
Density: 9.05 g/cm3
Magnetic moment: 0.000 μB/atom
D(E_F): 4.96 states/eV/f.u.
Symmetry: C2/m

=====

ZrZn2Pd3: relaxed, PBE.

Cell lengths 4.469, 4.469, 11.112 Å; angles 90.00, 90.00, 120.00 degrees
Sites, in units of the cell vectors:
Zn 0.000 0.000 0.500
Zn 0.000 0.000 0.000
Zn 0.333 0.667 0.166
Zn 0.667 0.333 0.834
Pd 0.333 0.667 0.923
Pd 0.667 0.333 0.077
Pd 0.333 0.667 0.422
Pd 0.000 0.000 0.769
Pd 0.000 0.000 0.231
Pd 0.667 0.333 0.578
Zr 0.667 0.333 0.325
Zr 0.333 0.667 0.675

Energy of formation: -3.54 eV/f.u.
Final energy: -60.43 eV/cell
Density: 9.35 g/cm3
Magnetic moment: 0.000 μB/atom
D(E_F): 3.54 states/eV/f.u.
Symmetry: P-3m1

=====

Zr4Zn3Pd: relaxed, PBE.

Cell lengths 3.345, 3.345, 13.366 Å; angles 90.00, 90.00, 90.00 degrees
Sites, in units of the cell vectors:
Zn 0.500 0.500 0.500
Zn 0.500 0.500 0.749
Zn 0.500 0.500 0.251
Zr 0.000 0.000 0.874
Zr 0.000 0.000 0.375
Zr 0.000 0.000 0.126
Zr 0.000 0.000 0.625
Pd 0.500 0.500 0.000

Energy of formation: -2.78 eV/f.u.
Final energy: -45.98 eV/cell
Density: 7.41 g/cm3
Magnetic moment: 0.000 μB/atom
D(E_F): 6.04 states/eV/f.u.
Symmetry: P4/mmm

=====

Zr2Zn2Pd5: relaxed, PBE.

Cell lengths 5.666, 5.666, 10.243 Å; angles 106.06, 106.06, 90.00 degrees
Sites, in units of the cell vectors:
Pd 0.393 0.430 0.285
Pd 0.392 0.930 0.285
Pd 0.607 0.645 0.715
Pd 0.108 0.145 0.715
Pd 0.607 0.145 0.715
Pd 0.893 0.930 0.285
Pd 0.250 0.787 0.500
Pd 0.107 0.645 0.715
Pd 0.892 0.430 0.285
Pd 0.750 0.287 0.500
Zn 0.938 0.475 0.875
Zn 0.438 0.975 0.875
Zn 0.062 0.599 0.125
Zn 0.562 0.099 0.125
Zr 0.750 0.787 0.500
Zr 0.250 0.287 0.500
Zr 0.000 0.037 0.000
Zr 0.500 0.537 0.000

Energy of formation: -4.57 eV/f.u.
Final energy: -100.36 eV/cell
Density: 9.28 g/cm3
Magnetic moment: 0.000 μB/atom
D(E_F): 5.62 states/eV/f.u.
Symmetry: P4/mmm

=====

Zr11Zn9Pd4: relaxed, PBE.

Cell lengths 3.361, 12.083, 12.083 Å; angles 113.44, 90.00, 90.00 degrees
Sites, in units of the cell vectors:
Zn 0.500 0.947 0.791
Zn 0.500 0.791 0.947
Zn 0.500 0.845 0.371
Zn 0.500 0.155 0.629
Zn 0.500 0.500 0.500
Zn 0.500 0.629 0.155
Zn 0.500 0.371 0.845
Zn 0.500 0.053 0.209
Zn 0.500 0.209 0.053
Zr 0.000 0.643 0.357
Zr 0.000 0.833 0.167
Zr 0.000 0.269 0.269
Zr 0.000 0.731 0.731
Zr 0.000 0.357 0.643
Zr 0.000 0.592 0.940
Zr 0.000 0.000 0.000
Zr 0.000 0.408 0.060
Zr 0.000 0.940 0.592
Zr 0.000 0.060 0.408
Zr 0.000 0.167 0.833
Pd 0.500 0.749 0.556
Pd 0.500 0.251 0.444
Pd 0.500 0.444 0.251
Pd 0.500 0.556 0.749

Energy of formation: -9.10 eV/f.u.
Final energy: -135.37 eV/cell
Density: 7.44 g/cm3
Magnetic moment: 0.000 μB/atom
D(E_F): 15.30 states/eV/f.u.
Symmetry: Cmmm

=====

ZrZnPd: relaxed, PBE.

Cell lengths 3.418, 3.418, 5.063 Å; angles 109.73, 109.73, 90.00 degrees
Sites, in units of the cell vectors:
Pd 0.607 0.607 0.213
Zr 0.285 0.285 0.570
Zn 0.959 0.959 0.917

Energy of formation: -1.54 eV/f.u.
Final energy: -16.56 eV/cell
Density: 8.40 g/cm3
Magnetic moment: 0.000 μB/atom
D(E_F): 1.64 states/eV/f.u.
Symmetry: I4mm

=====

Zr2Zn3Pd4: relaxed, PBE.

Cell lengths 5.360, 7.630, 7.856 Å; angles 90.00, 109.95, 90.00 degrees
Sites, in units of the cell vectors:
Zn 0.018 0.750 0.537
Zn 0.000 0.000 0.000
Zn 0.500 0.500 0.000
Zn 0.982 0.250 0.463
Zn 0.482 0.250 0.463
Zn 0.518 0.750 0.537
Pd 0.692 0.750 0.884
Pd 0.808 0.250 0.116
Pd 0.323 0.477 0.645
Pd 0.677 0.523 0.355
Pd 0.823 0.023 0.645
Pd 0.308 0.250 0.116
Pd 0.177 0.977 0.355
Pd 0.192 0.750 0.884
Zr 0.891 0.417 0.783
Zr 0.391 0.083 0.783
Zr 0.609 0.917 0.217
Zr 0.109 0.583 0.217

Energy of formation: -4.58 eV/f.u.
ΔE to the lowest computed polymorph: 0.0803 eV/atom
Final energy: -92.55 eV/cell
Density: 8.85 g/cm3
Magnetic moment: 0.000 μB/atom
D(E_F): 7.96 states/eV/f.u.
Symmetry: Cmce

=====

Zr2ZnPd8: relaxed, PBE.

Cell lengths 4.547, 5.904, 7.786 Å; angles 112.27, 106.98, 90.00 degrees
Sites, in units of the cell vectors:
Pd 0.000 0.258 0.000
Pd 0.181 0.181 0.361
Pd 0.000 0.742 0.000
Pd 0.638 0.876 0.277
Pd 0.819 0.819 0.639
Pd 0.362 0.599 0.724
Pd 0.638 0.401 0.276
Pd 0.362 0.124 0.723
Zn 0.500 0.000 0.000
Zr 0.188 0.688 0.375
Zr 0.812 0.312 0.625

Energy of formation: -6.26 eV/f.u.
Final energy: -66.17 eV/cell
Density: 9.95 g/cm3
Magnetic moment: 0.000 μB/atom
D(E_F): 5.18 states/eV/f.u.
Symmetry: Immm

=====

Question: Look up the energy of formation of the eighth one.
Answer: -6.26 eV/f.u.

=====

Question: Which formula does entry 1 have?
Answer: ZrZn4Pd7

=====

What did the fifth record say?
Zr11Zn9Pd4: relaxed, PBE.

Cell lengths 3.361, 12.083, 12.083 Å; angles 113.44, 90.00, 90.00 degrees
Sites, in units of the cell vectors:
Zn 0.500 0.947 0.791
Zn 0.500 0.791 0.947
Zn 0.500 0.845 0.371
Zn 0.500 0.155 0.629
Zn 0.500 0.500 0.500
Zn 0.500 0.629 0.155
Zn 0.500 0.371 0.845
Zn 0.500 0.053 0.209
Zn 0.500 0.209 0.053
Zr 0.000 0.643 0.357
Zr 0.000 0.833 0.167
Zr 0.000 0.269 0.269
Zr 0.000 0.731 0.731
Zr 0.000 0.357 0.643
Zr 0.000 0.592 0.940
Zr 0.000 0.000 0.000
Zr 0.000 0.408 0.060
Zr 0.000 0.940 0.592
Zr 0.000 0.060 0.408
Zr 0.000 0.167 0.833
Pd 0.500 0.749 0.556
Pd 0.500 0.251 0.444
Pd 0.500 0.444 0.251
Pd 0.500 0.556 0.749

Energy of formation: -9.10 eV/f.u.
Final energy: -135.37 eV/cell
Density: 7.44 g/cm3
Magnetic moment: 0.000 μB/atom
D(E_F): 15.30 states/eV/f.u.
Symmetry: Cmmm

=====

Question: Look up the magnetic moment of the second one.
Answer: 0.000 μB/atom